A relaxed NdDy3Y crystal, computed with GGA-PBE.

Symmetry: C2/c, No. 15
ΔH_f (0 K) in eV/f.u.: 0.22
Energy above the lowest structure with this stoichiometry in meV/atom: 30

Cell: 10.139 10.139 6.596 Å, 100.29 100.29 81.45°
Positions (direct):
Nd 0.076 0.924 0.750
Nd 0.186 0.814 0.250
Nd 0.814 0.186 0.750
Nd 0.924 0.076 0.250
Dy 0.015 0.388 0.151
Dy 0.126 0.277 0.647
Dy 0.214 0.584 0.549
Dy 0.277 0.126 0.147
Dy 0.388 0.015 0.651
Dy 0.416 0.786 0.951
Dy 0.584 0.214 0.049
Dy 0.612 0.985 0.349
Dy 0.723 0.874 0.853
Dy 0.786 0.416 0.451
Dy 0.874 0.723 0.353
Dy 0.985 0.612 0.849
Y 0.325 0.474 0.049
Y 0.474 0.325 0.549
Y 0.526 0.675 0.451
Y 0.675 0.526 0.951



A relaxed Er12Co5Te crystal, computed with GGA-PBE.

Symmetry: Immm, No. 71
Formation energy from raw total energies in eV per atom: -0.332

Cell: 8.209 8.209 8.209 Å, 111.24 110.20 107.00°
Positions (direct):
Er 0.023 0.215 0.808
Er 0.180 0.282 0.462
Er 0.180 0.718 0.897
Er 0.319 0.005 0.685
Er 0.319 0.634 0.315
Er 0.407 0.215 0.192
Er 0.593 0.785 0.808
Er 0.681 0.366 0.685
Er 0.681 0.995 0.315
Er 0.820 0.282 0.103
Er 0.820 0.718 0.538
Er 0.977 0.785 0.192
Co 0.000 0.000 0.000
Co 0.113 0.613 0.500
Co 0.353 0.000 0.353
Co 0.647 0.000 0.647
Co 0.887 0.387 0.500
Te 0.500 0.500 0.000



A relaxed NaSmAu2 crystal, computed with GGA-PBE.

Symmetry: Fm-3m, No. 225
ΔH_f (0 K) in eV/f.u.: -2.37
Energy above the lowest structure with this stoichiometry in meV/atom: 0

Cell: 7.157 7.157 7.157 Å, 90.00 90.00 90.00°
Positions (direct):
Na 0.000 0.000 0.000
Na 0.000 0.500 0.500
Na 0.500 0.000 0.500
Na 0.500 0.500 0.000
Sm 0.000 0.000 0.500
Sm 0.000 0.500 0.000
Sm 0.500 0.000 0.000
Sm 0.500 0.500 0.500
Au 0.250 0.250 0.250
Au 0.250 0.250 0.750
Au 0.250 0.750 0.250
Au 0.250 0.750 0.750
Au 0.750 0.250 0.250
Au 0.750 0.250 0.750
Au 0.750 0.750 0.250
Au 0.750 0.750 0.750



A relaxed Na2ZrNp2S6 crystal, computed with GGA-PBE.

Symmetry: C2/m, No. 12
Formation energy from raw total energies in eV per atom: -1.408

Cell: 6.742 6.742 7.118 Å, 99.04 99.04 119.59°
Positions (direct):
Na 0.167 0.833 0.000
Na 0.833 0.167 0.000
Zr 0.000 0.000 0.500
Np 0.335 0.665 0.500
Np 0.665 0.335 0.500
S 0.070 0.394 0.719
S 0.244 0.244 0.280
S 0.394 0.070 0.719
S 0.606 0.930 0.281
S 0.756 0.756 0.720
S 0.930 0.606 0.281



A relaxed BaFeH3 crystal, computed with GGA-PBE.

Symmetry: Pm-3m, No. 221
Energy above the lowest structure with this stoichiometry in meV/atom: 0

Cell: 3.904 3.904 3.904 Å, 90.00 90.00 90.00°
Positions (direct):
Ba 0.000 0.000 0.000
Fe 0.500 0.500 0.500
H 0.000 0.500 0.500
H 0.500 0.000 0.500
H 0.500 0.500 0.000



A relaxed Sc12CdCu6 crystal, computed with GGA-PBE.

Symmetry: Im-3, No. 204
ΔH_f (0 K) in eV/f.u.: -3.46

Cell: 7.940 7.940 7.940 Å, 109.47 109.47 109.47°
Positions (direct):
Sc 0.101 0.811 0.290
Sc 0.189 0.290 0.479
Sc 0.189 0.710 0.899
Sc 0.290 0.101 0.811
Sc 0.290 0.479 0.189
Sc 0.479 0.189 0.290
Sc 0.521 0.811 0.710
Sc 0.710 0.521 0.811
Sc 0.710 0.899 0.189
Sc 0.811 0.290 0.101
Sc 0.811 0.710 0.521
Sc 0.899 0.189 0.710
Cd 0.000 0.000 0.000
Cu 0.130 0.630 0.500
Cu 0.370 0.500 0.870
Cu 0.500 0.130 0.630
Cu 0.500 0.870 0.370
Cu 0.630 0.500 0.130
Cu 0.870 0.370 0.500



A relaxed KCdTeN2 crystal, computed with GGA-PBE.

Symmetry: P4/mmm, No. 123
Formation energy from raw total energies in eV per atom: 1.834
Energy above the lowest structure with this stoichiometry in meV/atom: 579

Cell: 4.881 4.881 6.993 Å, 90.00 90.00 90.00°
Positions (direct):
K 0.000 0.000 0.000
Cd 0.500 0.500 0.500
Te 0.000 0.000 0.500
N 0.000 0.500 0.000
N 0.500 0.000 0.000



A relaxed KYRe2 crystal, computed with GGA-PBE.

Symmetry: C2/m, No. 12
ΔH_f (0 K) in eV/f.u.: 4.80
Energy above the lowest structure with this stoichiometry in meV/atom: 678

Cell: 5.495 10.666 2.742 Å, 90.00 101.32 90.00°
Positions (direct):
K 0.000 0.000 0.000
K 0.500 0.500 0.000
Y 0.000 0.500 0.000
Y 0.500 0.000 0.000
Re 0.250 0.250 0.500
Re 0.250 0.750 0.500
Re 0.750 0.250 0.500
Re 0.750 0.750 0.500



no.,total moment (μB per atom),electronic total energy (eV/cell)
1,0.00,-99.28
2,0.01,-99.40
3,0.00,-59.85
4,0.73,-77.33
5,0.46,-21.01
6,0.00,-104.93
7,1.06,-12.64
8,0.04,-55.32